# CuNiH, relaxed, DFT GGA-PBE
data_CuNiH
_chemical_formula_sum 'Cu1 Ni1 H1'
_space_group_name_H-M_alt 'P 1'
_space_group_IT_number 1
_cell_length_a 2.611
_cell_length_b 2.611
_cell_length_c 4.276
_cell_angle_alpha 90.00
_cell_angle_beta 90.00
_cell_angle_gamma 120.00
loop_
_space_group_symop_operation_xyz
'x,y,z'
loop_
_atom_site_label
_atom_site_type_symbol
_atom_site_fract_x
_atom_site_fract_y
_atom_site_fract_z
Cu1 Cu 0.000 0.000 0.000
Ni1 Ni 0.333 0.667 0.519
H1 H 0.667 0.333 0.345
# Energy relative to the lowest polymorph listed for this composition (eV per atom): 0.000

---

# Dy2SnF, relaxed, DFT GGA-PBE
data_Dy2SnF
_chemical_formula_sum 'Dy6 Sn3 F3'
_space_group_name_H-M_alt 'P 1'
_space_group_IT_number 1
_cell_length_a 4.701
_cell_length_b 4.701
_cell_length_c 21.370
_cell_angle_alpha 90.00
_cell_angle_beta 90.00
_cell_angle_gamma 120.00
loop_
_space_group_symop_operation_xyz
'x,y,z'
loop_
_atom_site_label
_atom_site_type_symbol
_atom_site_fract_x
_atom_site_fract_y
_atom_site_fract_z
Dy1 Dy 0.000 0.000 0.102
Dy2 Dy 0.000 0.000 0.898
Dy3 Dy 0.333 0.667 0.565
Dy4 Dy 0.333 0.667 0.769
Dy5 Dy 0.667 0.333 0.231
Dy6 Dy 0.667 0.333 0.435
Sn1 Sn 0.000 0.000 0.500
Sn2 Sn 0.333 0.667 0.167
Sn3 Sn 0.667 0.333 0.833
F1 F 0.000 0.000 0.000
F2 F 0.333 0.667 0.667
F3 F 0.667 0.333 0.333
# Uncorrected formation energy (eV per atom): -1.496

---

# Nb4CoN, relaxed, DFT GGA-PBE
data_Nb4CoN
_chemical_formula_sum 'Nb8 Co2 N2'
_space_group_name_H-M_alt 'P 1'
_space_group_IT_number 1
_cell_length_a 5.580
_cell_length_b 5.460
_cell_length_c 6.208
_cell_angle_alpha 90.00
_cell_angle_beta 103.06
_cell_angle_gamma 90.00
loop_
_space_group_symop_operation_xyz
'x,y,z'
loop_
_atom_site_label
_atom_site_type_symbol
_atom_site_fract_x
_atom_site_fract_y
_atom_site_fract_z
Nb1 Nb 0.101 0.162 0.205
Nb2 Nb 0.101 0.338 0.705
Nb3 Nb 0.355 0.629 0.123
Nb4 Nb 0.355 0.871 0.623
Nb5 Nb 0.645 0.129 0.377
Nb6 Nb 0.645 0.371 0.877
Nb7 Nb 0.899 0.662 0.295
Nb8 Nb 0.899 0.838 0.795
Co1 Co 0.500 0.000 0.000
Co2 Co 0.500 0.500 0.500
N1 N 0.000 0.000 0.500
N2 N 0.000 0.500 0.000
# Uncorrected formation energy (eV per atom): -0.256

---

# NbGeH2Os, relaxed, DFT GGA-PBE
data_NbGeH2Os
_chemical_formula_sum 'Nb1 Ge1 H2 Os1'
_space_group_name_H-M_alt 'P 1'
_space_group_IT_number 1
_cell_length_a 3.588
_cell_length_b 3.588
_cell_length_c 4.854
_cell_angle_alpha 90.00
_cell_angle_beta 90.00
_cell_angle_gamma 90.00
loop_
_space_group_symop_operation_xyz
'x,y,z'
loop_
_atom_site_label
_atom_site_type_symbol
_atom_site_fract_x
_atom_site_fract_y
_atom_site_fract_z
Nb1 Nb 0.000 0.000 0.000
Ge1 Ge 0.500 0.500 0.000
H1 H 0.000 0.500 0.500
H2 H 0.500 0.000 0.500
Os1 Os 0.500 0.500 0.500
# Electronic total energy (eV/atom): -6.0309

---

# CaCu2Br, relaxed, DFT GGA-PBE
data_CaCu2Br
_chemical_formula_sum 'Ca2 Cu4 Br2'
_space_group_name_H-M_alt 'P 1'
_space_group_IT_number 1
_cell_length_a 4.909
_cell_length_b 4.909
_cell_length_c 6.961
_cell_angle_alpha 90.00
_cell_angle_beta 90.00
_cell_angle_gamma 90.00
loop_
_space_group_symop_operation_xyz
'x,y,z'
loop_
_atom_site_label
_atom_site_type_symbol
_atom_site_fract_x
_atom_site_fract_y
_atom_site_fract_z
Ca1 Ca 0.000 0.000 0.000
Ca2 Ca 0.500 0.500 0.500
Cu1 Cu 0.000 0.000 0.500
Cu2 Cu 0.000 0.500 0.750
Cu3 Cu 0.500 0.000 0.250
Cu4 Cu 0.500 0.500 0.000
Br1 Br 0.000 0.500 0.250
Br2 Br 0.500 0.000 0.750
# Uncorrected formation energy (eV per atom): -0.065
# Energy relative to the lowest polymorph listed for this composition (eV per atom): 0.389

---

# Pa2MnAu, relaxed, DFT GGA-PBE
data_Pa2MnAu
_chemical_formula_sum 'Pa2 Mn1 Au1'
_space_group_name_H-M_alt 'P 1'
_space_group_IT_number 1
_cell_length_a 3.076
_cell_length_b 3.076
_cell_length_c 8.447
_cell_angle_alpha 90.00
_cell_angle_beta 90.00
_cell_angle_gamma 90.00
loop_
_space_group_symop_operation_xyz
'x,y,z'
loop_
_atom_site_label
_atom_site_type_symbol
_atom_site_fract_x
_atom_site_fract_y
_atom_site_fract_z
Pa1 Pa 0.000 0.000 0.214
Pa2 Pa 0.000 0.000 0.786
Mn1 Mn 0.500 0.500 0.000
Au1 Au 0.500 0.500 0.500
# Energy relative to the lowest polymorph listed for this composition (eV per atom): 0.000
# E_form (eV/atom): -0.149

---

# CsHO2, relaxed, DFT GGA-PBE
data_CsHO2
_chemical_formula_sum 'Cs2 H2 O4'
_space_group_name_H-M_alt 'P 1'
_space_group_IT_number 1
_cell_length_a 6.259
_cell_length_b 4.438
_cell_length_c 5.073
_cell_angle_alpha 90.00
_cell_angle_beta 90.00
_cell_angle_gamma 90.00
loop_
_space_group_symop_operation_xyz
'x,y,z'
loop_
_atom_site_label
_atom_site_type_symbol
_atom_site_fract_x
_atom_site_fract_y
_atom_site_fract_z
Cs1 Cs 0.250 0.000 0.219
Cs2 Cs 0.750 0.000 0.781
H1 H 0.250 0.500 0.603
H2 H 0.750 0.500 0.397
O1 O 0.054 0.500 0.632
O2 O 0.446 0.500 0.632
O3 O 0.554 0.500 0.368
O4 O 0.946 0.500 0.368
# Energy relative to the lowest polymorph listed for this composition (eV per atom): 0.000

---

# Ca3Nd4YSe8, relaxed, DFT GGA-PBE
data_Ca3Nd4YSe8
_chemical_formula_sum 'Ca3 Nd4 Y1 Se8'
_space_group_name_H-M_alt 'P 1'
_space_group_IT_number 1
_cell_length_a 8.450
_cell_length_b 8.450
_cell_length_c 8.450
_cell_angle_alpha 59.17
_cell_angle_beta 59.17
_cell_angle_gamma 59.17
loop_
_space_group_symop_operation_xyz
'x,y,z'
loop_
_atom_site_label
_atom_site_type_symbol
_atom_site_fract_x
_atom_site_fract_y
_atom_site_fract_z
Ca1 Ca 0.000 0.500 0.500
Ca2 Ca 0.500 0.000 0.500
Ca3 Ca 0.500 0.500 0.000
Nd1 Nd 0.000 0.000 0.500
Nd2 Nd 0.000 0.500 0.000
Nd3 Nd 0.500 0.000 0.000
Nd4 Nd 0.500 0.500 0.500
Y1 Y 0.000 0.000 0.000
Se1 Se 0.246 0.246 0.748
Se2 Se 0.246 0.748 0.246
Se3 Se 0.252 0.252 0.252
Se4 Se 0.252 0.754 0.754
Se5 Se 0.748 0.246 0.246
Se6 Se 0.748 0.748 0.748
Se7 Se 0.754 0.252 0.754
Se8 Se 0.754 0.754 0.252
# Uncorrected formation energy (eV per atom): -1.879

---

no.,calculated volume (Å³ per atom)
1,8.417
2,34.081
3,15.354
4,12.498
5,20.967
6,19.985
7,17.611
8,26.162